No. 1
Pm6FeNi2I3 after structural relaxation. Source: the Alexandria database, functional PBE.

Summary:
Symmetry   C2/m (12)
Formation energy without anion corrections   -0.5958 eV per atom

abc: 7.0486 7.0486 8.3858
angles: 98.05 98.05 119.99
Sites, in units of the cell vectors:
Pm 0.7387 0.7387 0.1837
Pm 0.9389 0.6165 0.8167
Pm 0.0611 0.3835 0.1833
Pm 0.2613 0.2613 0.8163
Pm 0.3835 0.0611 0.1833
Pm 0.6165 0.9389 0.8167
I 0.8338 0.1662 0.5000
I 0.1662 0.8338 0.5000
I 0.5000 0.5000 0.5000
Ni 0.3333 0.6667 0.0000
Ni 0.6667 0.3333 0.0000
Fe 0.0000 0.0000 0.0000


No. 2
Pm3Sm4Er5 after structural relaxation. Source: the Alexandria database, functional PBE.

Summary:
Symmetry   C2/m (12)
E above lowest polymorph   209.2 meV per atom
DFT formation energy   0.226 eV per atom

abc: 5.9454 8.5558 9.6985
angles: 105.70 72.15 69.67
Sites, in units of the cell vectors:
Er 0.2144 0.4572 0.1139
Er 0.5000 0.5000 0.5000
Er 0.7856 0.5428 0.8861
Er 0.3739 0.0545 0.1977
Er 0.6261 0.9455 0.8023
Sm 0.8611 0.2226 0.0552
Sm 0.1389 0.7774 0.9448
Sm 0.1709 0.0396 0.6186
Sm 0.8291 0.9604 0.3814
Pm 0.0000 0.5000 0.5000
Pm 0.4761 0.3138 0.7341
Pm 0.5239 0.6862 0.2659


No. 3
Tb2YIn2 after structural relaxation. Source: the Alexandria database, functional PBE.

Summary:
Symmetry   P-3m1 (164)
E above lowest polymorph   161.1 meV per atom
DFT formation energy   -0.234 eV per atom

abc: 5.2275 5.2275 6.5054
angles: 90.00 90.00 120.00
Sites, in units of the cell vectors:
Tb 0.6667 0.3333 0.3394
Tb 0.3333 0.6667 0.6606
In 0.6667 0.3333 0.8239
In 0.3333 0.6667 0.1761
Y 0.0000 0.0000 0.0000


No. 4
Sb3RuPt after structural relaxation. Source: the Alexandria database, functional PBE.

Summary:
Symmetry   Pm-3m (221)
E above lowest polymorph   0.0 meV per atom
Formation energy without anion corrections   0.5896 eV per atom

abc: 5.0335 5.0335 5.0335
angles: 90.00 90.00 90.00
Sites, in units of the cell vectors:
Sb 0.5000 0.0000 0.0000
Sb 0.0000 0.5000 0.0000
Sb 0.0000 0.0000 0.5000
Pt 0.5000 0.5000 0.5000
Ru 0.0000 0.0000 0.0000


No. 5
Co4MoW after structural relaxation. Source: the Alexandria database, functional PBE.

Summary:
Symmetry   F-43m (216)
DFT formation energy   0.027 eV per atom

abc: 4.6843 4.6843 4.6843
angles: 60.00 60.00 60.00
Sites, in units of the cell vectors:
Co 0.1251 0.6250 0.6250
Co 0.6250 0.6250 0.6250
Co 0.6250 0.6250 0.1251
Co 0.6250 0.1251 0.6250
Mo 0.2500 0.2500 0.2500
W 0.0000 0.0000 0.0000


No. 6
KSbO3 after structural relaxation. Source: the Alexandria database, functional PBE.

Summary:
Symmetry   Pn-3 (201)
Formation energy without anion corrections   -1.6183 eV per atom

abc: 9.7458 9.7458 9.7458
angles: 90.00 90.00 90.00
Sites, in units of the cell vectors:
O 0.4967 0.8434 0.7895
O 0.0000 0.0000 0.3619
O 0.9967 0.3434 0.7105
O 0.6566 0.2895 0.9967
O 0.2895 0.0033 0.3434
O 0.5033 0.1566 0.7895
O 0.0033 0.3434 0.2895
O 0.1566 0.7895 0.5033
O 0.1381 0.5000 0.5000
O 0.0033 0.6566 0.7105
O 0.5033 0.8434 0.2105
O 0.5000 0.8619 0.5000
O 0.0000 0.0000 0.6381
O 0.8619 0.5000 0.5000
O 0.6566 0.7105 0.0033
O 0.8434 0.2105 0.5033
O 0.5000 0.1381 0.5000
O 0.1566 0.2105 0.4967
O 0.6381 0.0000 0.0000
O 0.7895 0.5033 0.1566
O 0.3619 0.0000 0.0000
O 0.2895 0.9967 0.6566
O 0.3434 0.2895 0.0033
O 0.7895 0.4967 0.8434
O 0.7105 0.9967 0.3434
O 0.0000 0.6381 0.0000
O 0.0000 0.3619 0.0000
O 0.4967 0.1566 0.2105
O 0.5000 0.5000 0.1381
O 0.9967 0.6566 0.2895
O 0.8434 0.7895 0.4967
O 0.7105 0.0033 0.6566
O 0.2105 0.4967 0.1566
O 0.5000 0.5000 0.8619
O 0.2105 0.5033 0.8434
O 0.3434 0.7105 0.9967
K 0.3471 0.3471 0.3471
K 0.1529 0.1529 0.1529
K 0.2500 0.2500 0.7500
K 0.7500 0.7500 0.7500
K 0.3471 0.6529 0.6529
K 0.6529 0.3471 0.6529
K 0.1529 0.8471 0.8471
K 0.6529 0.6529 0.3471
K 0.7500 0.2500 0.2500
K 0.2500 0.7500 0.2500
K 0.8471 0.8471 0.1529
K 0.8471 0.1529 0.8471
Sb 0.0000 0.6571 0.5000
Sb 0.0000 0.5000 0.8429
Sb 0.5000 0.8429 0.0000
Sb 0.3429 0.5000 0.0000
Sb 0.5000 0.0000 0.3429
Sb 0.6571 0.5000 0.0000
Sb 0.1571 0.0000 0.5000
Sb 0.5000 0.1571 0.0000
Sb 0.0000 0.3429 0.5000
Sb 0.0000 0.5000 0.1571
Sb 0.5000 0.0000 0.6571
Sb 0.8429 0.0000 0.5000


No. 7
Mg5AgO6 after structural relaxation. Source: the Alexandria database, functional PBE.

Summary:
Symmetry   C2/m (12)
Formation energy without anion corrections   -2.1797 eV per atom

abc: 5.4326 5.4377 5.3008
angles: 59.14 78.61 67.36
Sites, in units of the cell vectors:
Ag 0.0000 0.0000 0.0000
O 0.2537 0.9202 0.6474
O 0.2760 0.2749 0.0000
O 0.2537 0.5676 0.3526
O 0.7463 0.0798 0.3526
O 0.7463 0.4324 0.6474
O 0.7240 0.7251 0.0000
Mg 0.5000 0.1615 0.6769
Mg 0.5000 0.5000 0.0000
Mg 0.5000 0.8385 0.3231
Mg 0.0000 0.6639 0.6722
Mg 0.0000 0.3361 0.3278


No. 8
Sn2GeSb2 after structural relaxation. Source: the Alexandria database, functional PBE.

Summary:
Symmetry   P4/mbm (127)
E above lowest polymorph   68.1 meV per atom
Formation energy without anion corrections   0.2790 eV per atom

abc: 8.1148 8.1148 4.1498
angles: 90.00 90.00 90.00
Sites, in units of the cell vectors:
Ge 0.5000 0.5000 0.0000
Ge 0.0000 0.0000 0.0000
Sn 0.6535 0.1535 0.0000
Sn 0.1535 0.3465 0.0000
Sn 0.8465 0.6535 0.0000
Sn 0.3465 0.8465 0.0000
Sb 0.3494 0.1506 0.5000
Sb 0.6506 0.8494 0.5000
Sb 0.1506 0.6506 0.5000
Sb 0.8494 0.3494 0.5000